No. 1
Entry from the Alexandria database: SnGeSN2 at its PBEsol-relaxed geometry (SCAN).

Unit cell a=3.8159 b=3.8159 c=4.9251 alpha=90.00 beta=90.00 gamma=90.00
Atoms (fractional coordinates):
1 Sn 0.0000 0.0000 0.0000
2 Ge 0.5000 0.5000 0.5000
3 S 0.5000 0.5000 0.0000
4 N 0.0000 0.5000 0.5000
5 N 0.5000 0.0000 0.5000

For the theoretical density, the calculation gives 5.8 g cm⁻³. Its crystal system is tetragonal.



No. 2
Entry from the Alexandria database: GeSb3N at its PBEsol-relaxed geometry (SCAN).

Unit cell a=4.7126 b=4.7126 c=4.7126 alpha=90.00 beta=90.00 gamma=90.00
Atoms (fractional coordinates):
1 Ge 0.0000 0.0000 0.0000
2 Sb 0.0000 0.5000 0.5000
3 Sb 0.5000 0.0000 0.5000
4 Sb 0.5000 0.5000 0.0000
5 N 0.5000 0.5000 0.5000

For the theoretical density, the calculation gives 7.2 g cm⁻³. Its crystal system is cubic.



The records above give, respectively, formation energy without anion corrections values of 0.898, 0.736 eV per atom.